# PBE Hf6Ir5Os, relaxed
data_Hf6Ir5Os
_chemical_formula_sum 'Hf6 Ir5 Os1'
_symmetry_space_group_name_H-M 'P 1 2/m 1'
_symmetry_Int_Tables_number 10
_symmetry_space_group_name_Hall '-P 2y'
_cell_length_a 4.6416
_cell_length_b 6.5461
_cell_length_c 7.1117
_cell_angle_alpha 90.00
_cell_angle_beta 103.24
_cell_angle_gamma 90.00
loop_
_atom_site_label
_atom_site_type_symbol
_atom_site_fract_x
_atom_site_fract_y
_atom_site_fract_z
Hf1 Hf 0.0000 0.2493 0.0000
Hf2 Hf 0.3432 0.2478 0.6658
Ir1 Ir 0.1422 0.0000 0.3250
Ir2 Ir 0.1568 0.5000 0.3306
Ir3 Ir 0.5000 0.5000 0.0000
Os1 Os 0.5000 0.0000 0.0000
# Mass density: 17543 kg/m³
# Formation energy from the elements: -0.866 eV per atom
# E: -10.4711 eV per atom